# TbNdY

Crystalline TbNdY at its relaxed geometry (PBE, the Alexandria database).

Structure (POSCAR):
```
TbNdY
1.0
3.5554 0.0000 0.0000
1.7756 5.8804 0.0000
0.0085 0.8857 9.6985
Tb Nd Y
2 2 2
Direct
0.0000 0.0000 0.0000
0.2559 0.4895 0.8535
0.0311 0.9408 0.3553
0.7755 0.4516 0.5340
0.5198 0.9620 0.6894
0.7391 0.5215 0.1696
```

Computed properties:
N(E_F) in states/eV/cell: 10.55
Energy relative to the lowest polymorph listed for this composition in eV per atom: 0.087
E_form in kJ/mol of formula units: 28

# Tb6NdY2

Crystalline Tb6NdY2 at its relaxed geometry (PBE, the Alexandria database).

Structure (POSCAR):
```
Tb6NdY2
1.0
5.8077 -1.7340 0.0000
5.8077 1.7340 0.0000
-3.0153 0.0000 15.0087
Tb Nd Y
6 1 2
Direct
0.0404 0.0404 0.2321
0.2944 0.2944 0.1045
0.3730 0.3730 0.5628
0.6270 0.6270 0.4372
0.7056 0.7056 0.8955
0.9596 0.9596 0.7679
0.0000 0.0000 0.0000
0.3330 0.3330 0.3338
0.6670 0.6670 0.6662
```

Computed properties:
N(E_F) in states/eV/cell: 19.89
Energy relative to the lowest polymorph listed for this composition in eV per atom: 0.000
E_form in kJ/mol of formula units: 169